The following is a DFT calculation (PBE) of LiHo5Se8 after structural relaxation.

Results
ΔE_f (raw): -1.779 eV/atom

a b c (Å): 8.328 8.328 8.328
angles (deg): 60.00 60.00 60.00
Fractional positions:
Li 0.250 0.250 0.250
Ho 0.000 0.000 0.000
Ho 0.620 0.620 0.141
Ho 0.620 0.620 0.620
Ho 0.141 0.620 0.620
Ho 0.620 0.141 0.620
Se 0.380 0.859 0.380
Se 0.859 0.380 0.380
Se 0.380 0.380 0.380
Se 0.380 0.380 0.859
Se 0.866 0.866 0.401
Se 0.401 0.866 0.866
Se 0.866 0.866 0.866
Se 0.866 0.401 0.866

---

The following is a DFT calculation (PBE) of InPt2Pb2 after structural relaxation.

Results
energy relative to the elements: -0.036 eV/atom
offset from the most stable computed form: 216 meV/atom

a b c (Å): 3.932 3.932 8.684
angles (deg): 76.91 76.91 90.00
Fractional positions:
Pb 0.375 0.375 0.250
Pb 0.625 0.625 0.750
Pt 0.750 0.250 0.500
Pt 0.250 0.750 0.500
In 0.000 0.000 0.000

---

The following is a DFT calculation (PBE) of SrTaNbGa2 after structural relaxation.

Results
energy relative to the elements: 2.278 eV/atom

a b c (Å): 5.049 5.072 5.049
angles (deg): 90.00 90.00 90.00
Fractional positions:
Sr 0.000 0.000 0.000
Nb 0.500 0.500 0.500
Ga 0.000 0.000 0.500
Ga 0.500 0.000 0.000
Ta 0.000 0.500 0.000

---

The following is a DFT calculation (PBE) of CrReGe2 after structural relaxation.

Results
energy relative to the elements: 0.169 eV/atom
offset from the most stable computed form: 0 meV/atom

a b c (Å): 4.349 4.349 4.349
angles (deg): 60.00 60.00 60.00
Last column: magnetic moment on the atom in μB.
Fractional positions:
Re 0.500 0.500 0.500  -0.04
Ge 0.250 0.250 0.250  -0.04
Ge 0.750 0.750 0.750  -0.04
Cr 0.000 0.000 0.000  2.69

---

The following is a DFT calculation (PBE) of Ta3NiW after structural relaxation.

Results
energy relative to the elements: 1.816 eV/atom
offset from the most stable computed form: 753 meV/atom

a b c (Å): 4.834 4.834 4.834
angles (deg): 90.00 90.00 90.00
Last column: magnetic moment on the atom in μB.
Fractional positions:
Ni 0.500 0.500 0.500  0.29
W 0.000 0.000 0.000  0.07
Ta 0.000 0.500 0.000  0.02
Ta 0.000 0.000 0.500  0.03
Ta 0.500 0.000 0.000  0.05

---

The following is a DFT calculation (PBE) of CaGa2Tc2 after structural relaxation.

Results
energy relative to the elements: -0.052 eV/atom
offset from the most stable computed form: 0 meV/atom

a b c (Å): 4.648 4.648 5.569
angles (deg): 65.33 65.33 90.00
Fractional positions:
Ca 0.000 0.000 0.000
Tc 0.376 0.376 0.249
Tc 0.624 0.624 0.751
Ga 0.750 0.250 0.500
Ga 0.250 0.750 0.500

---

The following is a DFT calculation (PBE) of Ti2GaF after structural relaxation.

Results
ΔE_f (raw): -0.596 eV/atom
offset from the most stable computed form: 0 meV/atom

a b c (Å): 4.399 4.399 4.399
angles (deg): 60.00 60.00 60.00
Last column: magnetic moment on the atom in μB.
Fractional positions:
F 0.000 0.000 0.000  0.01
Ga 0.500 0.500 0.500  -0.02
Ti 0.250 0.250 0.250  0.68
Ti 0.750 0.750 0.750  0.68

---

The following is a DFT calculation (PBE) of NbMo2Rh after structural relaxation.

Results
energy relative to the elements: 0.523 eV/atom
offset from the most stable computed form: 406 meV/atom

a b c (Å): 7.312 7.312 5.785
angles (deg): 50.80 50.80 90.00
Fractional positions:
Mo 0.643 0.125 0.250
Mo 0.107 0.625 0.250
Mo 0.375 0.357 0.750
Mo 0.875 0.893 0.750
Rh 0.000 0.000 0.000
Rh 0.750 0.250 0.500
Nb 0.500 0.500 0.000
Nb 0.250 0.750 0.500

---

The following is a DFT calculation (PBE) of LiHgMo2 after structural relaxation.

Results
energy relative to the elements: 0.415 eV/atom

a b c (Å): 5.325 5.325 2.728
angles (deg): 90.00 90.00 121.88
Fractional positions:
Hg 0.500 0.000 0.500
Li 0.000 0.500 0.500
Mo 0.000 0.000 0.000
Mo 0.500 0.500 0.000

---

The following is a DFT calculation (PBE) of Tb5ZnCo2 after structural relaxation.

Results
energy relative to the elements: -0.201 eV/atom

a b c (Å): 7.625 7.625 8.419
angles (deg): 116.93 116.93 90.00
Fractional positions:
Tb 0.526 0.702 0.729
Tb 0.798 0.974 0.271
Tb 0.000 0.000 0.000
Tb 0.500 0.500 0.000
Tb 0.202 0.026 0.729
Tb 0.702 0.202 0.729
Tb 0.026 0.526 0.729
Tb 0.298 0.798 0.271
Tb 0.974 0.474 0.271
Tb 0.474 0.298 0.271
Zn 0.750 0.750 0.500
Zn 0.250 0.250 0.500
Co 0.133 0.367 0.000
Co 0.633 0.133 0.000
Co 0.367 0.867 0.000
Co 0.867 0.633 0.000

---

The following is a DFT calculation (PBE) of NaAc2P3Rh12 after structural relaxation.

Results
energy relative to the elements: -0.163 eV/atom

a b c (Å): 7.091 7.091 7.091
angles (deg): 74.93 74.93 74.93
Fractional positions:
Na 0.000 0.000 0.000
Ac 0.612 0.612 0.612
Ac 0.388 0.388 0.388
P 0.500 0.000 0.000
P 0.000 0.500 0.000
P 0.000 0.000 0.500
Rh 0.328 0.328 0.914
Rh 0.853 0.853 0.359
Rh 0.359 0.853 0.853
Rh 0.914 0.328 0.328
Rh 0.853 0.359 0.853
Rh 0.328 0.914 0.328
Rh 0.672 0.672 0.086
Rh 0.147 0.147 0.641
Rh 0.641 0.147 0.147
Rh 0.086 0.672 0.672
Rh 0.147 0.641 0.147
Rh 0.672 0.086 0.672

---

The following is a DFT calculation (PBE) of CuHgBr6 after structural relaxation.

Results
ΔE_f (raw): -0.216 eV/atom

a b c (Å): 7.872 8.269 6.548
angles (deg): 71.79 57.44 72.45
Fractional positions:
Cu 0.000 0.000 0.000
Hg 0.500 0.500 0.500
Br 0.178 0.408 0.655
Br 0.885 0.053 0.701
Br 0.672 0.158 0.176
Br 0.115 0.947 0.299
Br 0.822 0.592 0.345
Br 0.328 0.842 0.824

---

The following is a DFT calculation (PBE) of Hf6MnRe after structural relaxation.

Results
energy relative to the elements: 0.028 eV/atom

a b c (Å): 5.467 5.755 7.333
angles (deg): 47.56 68.18 81.36
Fractional positions:
Hf 0.843 0.556 0.672
Hf 0.672 0.929 0.842
Hf 0.747 0.238 0.253
Hf 0.328 0.071 0.158
Hf 0.157 0.444 0.328
Hf 0.253 0.762 0.747
Mn 0.000 0.000 0.000
Re 0.500 0.500 0.500

---

The following is a DFT calculation (PBE) of Sc4CdPdAu2 after structural relaxation.

Results
energy relative to the elements: -0.699 eV/atom

a b c (Å): 4.829 4.829 8.340
angles (deg): 73.17 73.17 60.00
Fractional positions:
Sc 0.381 0.381 0.856
Sc 0.870 0.870 0.390
Sc 0.130 0.130 0.610
Sc 0.619 0.619 0.144
Cd 0.000 0.000 0.000
Pd 0.500 0.500 0.500
Au 0.743 0.743 0.771
Au 0.257 0.257 0.229

---

The following is a DFT calculation (PBE) of Sr2Ac3NpN6 after structural relaxation.

Results
ΔE_f (raw): -1.014 eV/atom

a b c (Å): 6.522 6.522 6.484
angles (deg): 99.48 99.48 119.96
Last column: magnetic moment on the atom in μB.
Fractional positions:
Sr 0.333 0.667 0.000  0.01
Sr 0.667 0.333 0.000  0.01
Ac 0.164 0.836 0.500  0.03
Ac 0.836 0.164 0.500  0.03
Ac 0.500 0.500 0.500  0.03
Np 0.000 0.000 0.000  1.52
N 0.927 0.660 0.784  -0.06
N 0.792 0.792 0.250  -0.04
N 0.073 0.340 0.216  -0.06
N 0.660 0.927 0.784  -0.06
N 0.208 0.208 0.750  -0.04
N 0.340 0.073 0.216  -0.06

---

The following is a DFT calculation (PBE) of LaSbSe2 after structural relaxation.

Results
ΔE_f (raw): -1.127 eV/atom
offset from the most stable computed form: 0 meV/atom

a b c (Å): 8.237 8.237 8.237
angles (deg): 151.77 151.34 40.67
Fractional positions:
La 0.553 0.553 0.000
Sb 0.245 0.745 0.500
Se 0.993 0.993 0.000
Se 0.709 0.209 0.500

---

The following is a DFT calculation (PBE) of Cs2MgI3Br after structural relaxation.

Results
ΔE_f (raw): -1.416 eV/atom

a b c (Å): 5.552 5.923 10.413
angles (deg): 106.52 105.46 90.00
Fractional positions:
Cs 0.640 0.640 0.281
Cs 0.360 0.360 0.719
Mg 0.000 0.000 0.000
I 0.000 0.500 0.000
I 0.153 0.153 0.306
I 0.847 0.847 0.694
Br 0.500 0.000 0.000

---

The following is a DFT calculation (PBE) of CrAg2Ir after structural relaxation.

Results
energy relative to the elements: 0.192 eV/atom
offset from the most stable computed form: 0 meV/atom

a b c (Å): 2.787 2.787 8.049
angles (deg): 90.00 90.00 90.00
Fractional positions:
Ag 0.000 0.000 0.991
Ag 0.500 0.500 0.267
Cr 0.000 0.000 0.528
Ir 0.500 0.500 0.715

---

The following is a DFT calculation (PBE) of Co2SiAg after structural relaxation.

Results
ΔE_f (raw): 0.043 eV/atom

a b c (Å): 3.509 2.711 5.693
angles (deg): 72.12 90.00 90.00
Last column: magnetic moment on the atom in μB.
Fractional positions:
Ag 0.500 0.750 0.750  -0.01
Co 0.000 0.068 0.046  0.70
Co 0.000 0.432 0.454  0.70
Si 0.500 0.250 0.250  -0.03

---

The following is a DFT calculation (PBE) of LiBeAsBr2 after structural relaxation.

Results
ΔE_f (raw): -0.185 eV/atom
offset from the most stable computed form: 0 meV/atom

a b c (Å): 5.285 5.285 4.324
angles (deg): 90.00 90.00 90.00
Last column: magnetic moment on the atom in μB.
Fractional positions:
Be 0.000 0.000 0.000  -0.01
As 0.000 0.000 0.500  0.42
Br 0.000 0.500 0.000  0.08
Br 0.500 0.000 0.000  0.08
Li 0.500 0.500 0.500  0.00

---

The following is a DFT calculation (PBE) of RbGePbCl5 after structural relaxation.

Results
ΔE_f (raw): -1.222 eV/atom

a b c (Å): 7.699 7.699 11.300
angles (deg): 110.64 110.64 96.48
Fractional positions:
Rb 0.326 0.674 0.250
Rb 0.674 0.326 0.750
Ge 0.732 0.268 0.250
Ge 0.268 0.732 0.750
Pb 0.000 0.000 0.500
Pb 0.000 0.000 0.000
Cl 0.036 0.964 0.250
Cl 0.964 0.036 0.750
Cl 0.880 0.351 0.085
Cl 0.120 0.649 0.915
Cl 0.649 0.120 0.415
Cl 0.351 0.880 0.585
Cl 0.771 0.597 0.400
Cl 0.229 0.403 0.600
Cl 0.403 0.229 0.100
Cl 0.597 0.771 0.900

---

The following is a DFT calculation (PBE) of KEuCdSn after structural relaxation.

Results
energy relative to the elements: -0.231 eV/atom

a b c (Å): 5.679 5.679 5.679
angles (deg): 60.00 60.00 60.00
Last column: magnetic moment on the atom in μB.
Fractional positions:
Eu 0.500 0.500 0.500  -6.84
K 0.000 0.000 0.000  0.00
Sn 0.750 0.750 0.750  0.02
Cd 0.250 0.250 0.250  0.00

---

Table of raw total energy (eV/cell), in record order: -77.6 -22.4 -18.3 -30.6 -45.2 -29.0 -23.1 -74.0 -22.2 -80.5 -116.9 -16.2 -81.1 -43.6 -90.8 -20.5 -19.5 -23.4 -22.3 -14.6 -56.6 -17.2
Table of V (Å³/cell), in record order: 408.38 127.21 129.30 58.17 112.98 97.13 60.19 138.71 65.69 375.99 325.28 336.43 156.34 158.71 225.65 126.53 315.34 62.54 51.55 120.77 564.70 129.53